(1)
Si3Pt after structural relaxation. Source: the Alexandria database, functional PBE.

Unit cell a=3.1662 b=3.1662 c=7.2069 alpha=90.00 beta=90.00 gamma=120.00
Space group P-6m2 (No. 187)
Asymmetric unit:
Si  0.0000  0.0000  0.0000 x1
Si  0.6667  0.3333  0.2572 x2
Pt  0.0000  0.0000  0.5000 x1

## Properties
**Formation energy (no corrections)**: 7.80 kJ per mole of atoms
**DOS(E_F)**: 1.74 states/eV/f.u.
**DFT total energy**: -5.497 eV per atom

(2)
Li2ZnCrCl6 after structural relaxation. Source: the Alexandria database, functional PBE.

Unit cell a=6.372 b=6.463 c=6.578 alpha=72.55 beta=76.68 gamma=65.83
Space group P1 (No. 1)
Asymmetric unit:
Li  0.000  0.000  0.000 x1
Li  0.363  0.419  0.736 x1
Zn  0.989  0.302  0.331 x1
Cr  0.645  0.838  0.654 x1
Cl  0.002  0.380  0.963 x1
Cl  0.312  0.257  0.449 x1
Cl  0.355  0.718  0.893 x1
Cl  0.653  0.052  0.883 x1
Cl  0.653  0.587  0.441 x1
Cl  0.958  0.930  0.407 x1

## Properties
**Formation energy (no corrections)**: -127.55 kJ per mole of atoms
**DFT total energy**: -3.902 eV per atom

(3)
Ba2CuGe after structural relaxation. Source: the Alexandria database, functional PBE.

Unit cell a=4.5066 b=4.5066 c=26.2623 alpha=90.00 beta=90.00 gamma=120.00
Space group R3m (No. 160, hexagonal axes)
Asymmetric unit:
Ba  0.0000  0.0000  0.0000 x3
Ba  0.0000  0.0000  0.1618 x3
Cu  0.0000  0.0000  0.7475 x3
Ge  0.0000  0.0000  0.4140 x3

## Properties
**DOS(E_F)**: 3.58 states/eV/f.u.
**ΔH_f (0 K)**: -1.3 eV per formula unit
**DFT total energy**: -3.475 eV per atom